# 1
A plane-wave DFT calculation with GGA-PBE was carried out for a relaxed CaMn crystal.

Computed properties:
E_form (meV/atom): 647
E_tot (eV/atom): -4.939
SG: No. 70

a b c (Å): 5.672 13.944 9.015
angles (deg): 90.00 90.00 90.00
Last column: magnetic moment on the atom in μB.
Element x y z (fractional)
1 Ca 0.000 0.000 0.669  -0.03
2 Ca 0.000 0.000 0.331  -0.03
3 Ca 0.250 0.750 0.581  -0.03
4 Ca 0.250 0.750 0.919  -0.03
5 Ca 0.000 0.500 0.169  -0.03
6 Ca 0.000 0.500 0.831  -0.03
7 Ca 0.250 0.250 0.081  -0.03
8 Ca 0.250 0.250 0.419  -0.03
9 Ca 0.500 0.000 0.169  -0.03
10 Ca 0.500 0.000 0.831  -0.03
11 Ca 0.750 0.750 0.081  -0.03
12 Ca 0.750 0.750 0.419  -0.03
13 Ca 0.500 0.500 0.669  -0.03
14 Ca 0.500 0.500 0.331  -0.03
15 Ca 0.750 0.250 0.581  -0.03
16 Ca 0.750 0.250 0.919  -0.03
17 Mn 0.000 0.072 0.000  1.85
18 Mn 0.000 0.928 0.000  1.85
19 Mn 0.250 0.678 0.250  1.85
20 Mn 0.250 0.822 0.250  1.85
21 Mn 0.000 0.572 0.500  1.85
22 Mn 0.000 0.428 0.500  1.85
23 Mn 0.250 0.178 0.750  1.85
24 Mn 0.250 0.322 0.750  1.85
25 Mn 0.500 0.072 0.500  1.85
26 Mn 0.500 0.928 0.500  1.85
27 Mn 0.750 0.678 0.750  1.85
28 Mn 0.750 0.822 0.750  1.85
29 Mn 0.500 0.572 0.000  1.85
30 Mn 0.500 0.428 0.000  1.85
31 Mn 0.750 0.178 0.250  1.85
32 Mn 0.750 0.322 0.250  1.85

***

# 2
A plane-wave DFT calculation with GGA-PBE was carried out for a relaxed CaMn crystal.

Computed properties:
E_form (meV/atom): 1218
E_tot (eV/atom): -4.367
SG: No. 194

a b c (Å): 5.320 5.320 5.989
angles (deg): 90.00 90.00 120.00
Last column: magnetic moment on the atom in μB.
Element x y z (fractional)
1 Ca 0.333 0.667 0.250  -0.06
2 Ca 0.667 0.333 0.750  -0.06
3 Mn 0.333 0.667 0.750  3.90
4 Mn 0.667 0.333 0.250  3.90

***

# 3
A plane-wave DFT calculation with GGA-PBE was carried out for a relaxed Ca4Mn5 crystal.

Computed properties:
E_form (meV/atom): 551
E_tot (eV/atom): -5.433
SG: No. 139

a b c (Å): 7.234 7.234 7.234
angles (deg): 95.58 95.58 143.67
Last column: magnetic moment on the atom in μB.
Element x y z (fractional)
1 Ca 0.701 0.000 0.701  -0.05
2 Ca 0.299 0.000 0.299  -0.05
3 Ca 0.000 0.299 0.299  -0.05
4 Ca 0.000 0.701 0.701  -0.05
5 Mn 0.000 0.000 0.000  3.10
6 Mn 0.636 0.364 0.000  3.49
7 Mn 0.364 0.636 0.000  3.49
8 Mn 0.364 0.364 0.728  3.49
9 Mn 0.636 0.636 0.272  3.49